Record 1
DFT (PBE) results for a relaxed structure of CaCr2Os.

Unit cell a=4.5318 b=4.5318 c=3.0202 alpha=90.00 beta=90.00 gamma=90.00
Last column: magnetic moment on the atom in μB.
Fractional coordinates of all 4 atoms:
Cr1 0.0000 0.0000 0.0000  1.75
Cr2 0.5000 0.5000 0.0000  1.75
Ca1 0.0000 0.5000 0.5000  0.05
Os1 0.5000 0.0000 0.5000  -0.47

Output
Distance to the lowest polymorph of the same formula = 140.1 kJ/mol of formula units

---

Record 2
DFT (PBE) results for a relaxed structure of CaCrOs4.

Unit cell a=5.2373 b=5.2373 c=5.2373 alpha=60.00 beta=60.00 gamma=60.00
Last column: magnetic moment on the atom in μB.
Fractional coordinates of all 6 atoms:
Ca1 0.7500 0.7500 0.7500  0.02
Cr1 0.0000 0.0000 0.0000  3.14
Os1 0.8768 0.3744 0.3744  -0.37
Os2 0.3744 0.3744 0.8768  -0.37
Os3 0.3744 0.8768 0.3744  -0.37
Os4 0.3744 0.3744 0.3744  -0.37

---

Record 3
DFT (PBE) results for a relaxed structure of CaCrOs2.

Unit cell a=9.3262 b=9.3262 c=9.3262 alpha=17.31 beta=17.31 gamma=17.31
Fractional coordinates of all 4 atoms:
Cr1 0.7500 0.7500 0.7500
Ca1 0.2500 0.2500 0.2500
Os1 0.0110 0.0110 0.0110
Os2 0.4890 0.4890 0.4890

Output
Distance to the lowest polymorph of the same formula = 60.5 kJ/mol of formula units

---

Record 4
DFT (PBE) results for a relaxed structure of CaCr2Os.

Unit cell a=5.2904 b=5.1886 c=2.6111 alpha=80.82 beta=79.59 gamma=117.67
Fractional coordinates of all 4 atoms:
Cr1 0.0000 0.0000 0.0000
Cr2 0.5000 0.0000 0.5000
Ca1 0.5000 0.5000 0.0000
Os1 0.0000 0.5000 0.5000

Output
Distance to the lowest polymorph of the same formula = 150.9 kJ/mol of formula units

---

E_tot, record by record: -29.327, -53.911, -31.963, -29.215 eV per cell
Size of the total moment, record by record: 3.337, 1.911, 0.004, 0.000 μB per cell
ΔH_f (0 K), record by record: 0.79, 0.44, 0.53, 0.82 eV per atom